# 1
Here is AlNi2Cl after structural relaxation from the Alexandria database. Energies are from PBE.

Computed properties:
crystal system: cubic
V: 216.7 Å³ per cell
E_form (uncorrected): 0.22 eV per atom

Unit cell a=6.0066 b=6.0066 c=6.0066 alpha=90.00 beta=90.00 gamma=90.00
Closest atoms and distances in Å follow each position.
Space group Fm-3m (No. 225)
Inequivalent atoms, fractional coordinates:
Al  0.0000  0.0000  0.0000  8 Ni 2.60
Ni  0.2500  0.2500  0.2500  4 Cl 2.60, 4 Al 2.60
Cl  0.0000  0.0000  0.5000  8 Ni 2.60

# 2
Here is AlNi2Cl after structural relaxation from the Alexandria database. Energies are from PBE.

Computed properties:
crystal system: orthorhombic
V: 120.1 Å³ per cell
E_form (uncorrected): -0.05 eV per atom

Unit cell a=2.9352 b=3.6520 c=11.2015 alpha=90.00 beta=90.00 gamma=90.00
Closest atoms and distances in Å follow each position.
Space group Imm2 (No. 44)
Inequivalent atoms, fractional coordinates:
Al  0.0000  0.0000  0.0000  6 Ni 2.34-2.44
Ni  0.0000  0.0000  0.4397  4 Al 2.44, 2 Cl 2.48, 2 Ni 2.60
Ni  0.0000  0.5000  0.1308  2 Al 2.34, 2 Ni 2.60
Cl  0.0000  0.5000  0.7610  6 Ni 2.48-2.76

Polymorph energy (0 for the lowest one) list, top to bottom, in meV/atom: 484 213
Density of states at the Fermi level list, top to bottom, in states/eV/f.u.: 0.574 3.511
Total DFT energy (no corrections) list, top to bottom, in eV/atom: -4.065 -4.336